Here is a relaxed TmScAlAg crystal from Alexandria. Energies are from PBE.

Unit cell a=4.968 b=4.968 c=4.968 alpha=60.00 beta=60.00 gamma=60.00
Atoms (fractional coordinates):
Ag1 0.250 0.250 0.250
Tm1 0.000 0.000 0.000
Sc1 0.500 0.500 0.500
Al1 0.750 0.750 0.750

Results
Its theoretical density is 6.68 g/cm³. The value obtained for the energy above the most stable polymorph in this dataset is 0.0187 eV/atom. The total energy is -4.6956 eV/atom. The value obtained for the total magnetic moment is 0.00 μB per formula unit.

---

Here is a relaxed LaMg2ZnCu2 crystal from Alexandria. Energies are from PBE.

Unit cell a=5.014 b=5.014 c=6.424 alpha=112.97 beta=112.97 gamma=90.00
Atoms (fractional coordinates):
Mg1 0.750 0.250 0.500
La1 0.500 0.500 0.000
Zn1 0.000 0.000 0.000
Mg2 0.250 0.750 0.500
Cu1 0.781 0.781 0.562
Cu2 0.219 0.219 0.438

Results
Its theoretical density is 4.69 g/cm³. The total energy is -2.9004 eV/atom. The value obtained for the total magnetic moment is 0.00 μB per formula unit.

---

Here is a relaxed La16Dy6Ho7 crystal from Alexandria. Energies are from PBE.

Unit cell a=11.457 b=11.457 c=11.457 alpha=60.00 beta=60.00 gamma=60.00
Atoms (fractional coordinates):
La1 0.875 0.875 0.376
Dy1 0.740 0.260 0.740
La2 0.376 0.875 0.875
Ho1 0.000 0.000 0.000
La3 0.648 0.648 0.648
La4 0.944 0.352 0.352
Ho2 0.000 0.500 0.500
Dy2 0.260 0.740 0.260
Dy3 0.740 0.740 0.260
La5 0.352 0.944 0.352
Dy4 0.260 0.740 0.740
Ho3 0.000 0.500 0.000
La6 0.648 0.056 0.648
La7 0.648 0.648 0.056
La8 0.125 0.125 0.125
La9 0.875 0.376 0.875
La10 0.352 0.352 0.944
La11 0.624 0.125 0.125
Ho4 0.500 0.000 0.000
La12 0.056 0.648 0.648
Ho5 0.500 0.000 0.500
Dy5 0.260 0.260 0.740
La13 0.125 0.624 0.125
Ho6 0.000 0.000 0.500
La14 0.352 0.352 0.352
Ho7 0.500 0.500 0.000
Dy6 0.740 0.260 0.260
La15 0.125 0.125 0.624
La16 0.875 0.875 0.875

Results
Its theoretical density is 6.80 g/cm³. The total energy is -4.5849 eV/atom. The value obtained for the total magnetic moment is 0.00 μB per formula unit.

---

Here is a relaxed PmSmNi3 crystal from Alexandria. Energies are from PBE.

Unit cell a=4.031 b=3.939 c=12.442 alpha=99.11 beta=90.00 gamma=90.00
Atoms (fractional coordinates):
Ni1 0.750 0.524 0.048
Pm1 0.750 0.930 0.860
Ni2 0.750 0.328 0.655
Sm1 0.250 0.798 0.596
Ni3 0.250 0.672 0.345
Ni4 0.250 0.476 0.952
Ni5 0.750 0.619 0.238
Pm2 0.250 0.070 0.140
Ni6 0.250 0.381 0.762
Sm2 0.750 0.202 0.404

Results
Its theoretical density is 8.03 g/cm³. The total energy is -5.7110 eV/atom. The value obtained for the total magnetic moment is 0.00 μB per formula unit.

---

Here is a relaxed Al4MoOs5 crystal from Alexandria. Energies are from PBE.

Unit cell a=3.016 b=3.016 c=15.400 alpha=90.00 beta=90.00 gamma=90.00
Atoms (fractional coordinates):
Os1 0.500 0.500 0.107
Al1 0.000 0.000 0.209
Os2 0.500 0.500 0.696
Al2 0.000 0.000 0.402
Os3 0.500 0.500 0.500
Os4 0.500 0.500 0.304
Mo1 0.000 0.000 0.000
Al3 0.000 0.000 0.598
Os5 0.500 0.500 0.893
Al4 0.000 0.000 0.791

Results
Its theoretical density is 13.69 g/cm³. The total energy is -8.5098 eV/atom. The value obtained for the total magnetic moment is 0.00 μB per formula unit.

---

Here is a relaxed La4Ho15Er crystal from Alexandria. Energies are from PBE.

Unit cell a=5.061 b=5.061 c=25.154 alpha=90.00 beta=90.00 gamma=90.00
Atoms (fractional coordinates):
Ho1 0.500 0.500 0.600
Ho2 0.500 0.000 0.299
Ho3 0.000 0.500 0.299
Ho4 0.000 0.500 0.701
Ho5 0.000 0.500 0.097
La1 0.000 0.000 0.601
Ho6 0.500 0.500 0.000
Ho7 0.500 0.500 0.400
Ho8 0.500 0.000 0.097
Ho9 0.500 0.500 0.802
Ho10 0.500 0.000 0.903
Ho11 0.000 0.500 0.500
Ho12 0.000 0.500 0.903
Er1 0.000 0.000 0.000
La2 0.000 0.000 0.200
La3 0.000 0.000 0.800
Ho13 0.500 0.000 0.701
Ho14 0.500 0.000 0.500
La4 0.000 0.000 0.399
Ho15 0.500 0.500 0.198

Results
Its theoretical density is 8.24 g/cm³. The total energy is -4.6151 eV/atom. The value obtained for the total magnetic moment is 0.00 μB per formula unit.

---

It is found that the DFT formation energy values, taken in the order of the records, are -0.346 0.030 0.191 -0.348 -0.315 0.032 eV per atom.